--- i ---
PBE-GGA TbY2Tm9, relaxed; theoretical density = 8351 kg/m³
1.0
3.4616 0.0000 0.0000
0.0000 11.0984 0.0000
0.0000 -5.5492 9.6115
Tm Y Tb
9 2 1
Cartesian
1.7308 -2.6130 7.9163
1.7308 2.6130 7.9163
1.7308 8.1622 1.6952
0.0000 5.5492 0.0000
1.7308 5.5492 6.2211
0.0000 2.7746 4.8057
1.7308 0.0000 3.3904
0.0000 -2.7746 4.8057
1.7308 2.9362 1.6952
0.0000 5.5492 3.2038
0.0000 0.0000 6.4077
0.0000 0.0000 0.0000


--- ii ---
PBE-GGA TbY2Tm9, relaxed; theoretical density = 8418 kg/m³
1.0
-3.9173 -1.2861 -2.7596
2.8017 0.2374 -4.0876
3.5749 -14.3570 1.6166
Tm Tb Y
9 1 2
Cartesian
4.3819 -11.8537 -0.6957
-1.3648 -3.0278 -1.1113
-0.5578 -0.5244 -3.4236
1.9946 -2.2660 -1.7753
1.8259 -10.0976 -2.3457
0.6334 -5.3082 -2.8850
1.0224 -12.6154 -0.0317
3.1883 -7.0598 -1.2355
-0.1712 -7.8216 -0.5715
0.0000 0.0000 0.0000
2.3841 -9.5747 1.0781
1.1908 -4.7824 0.5385


In order of decreasing stability: ii, i.